# ZrMn2Nb | Alexandria | PBE | relaxed
# * VASP energy: -8.752 eV/atom
# * E_form: 0.49 eV per atom
# * ρ: 7.20 g/cm3
data_ZrMn2Nb
_chemical_formula_sum 'Zr4 Mn8 Nb4'
_cell_length_a 6.951
_cell_length_b 6.951
_cell_length_c 5.612
_cell_angle_alpha 90.00
_cell_angle_beta 90.00
_cell_angle_gamma 90.00
_space_group_name_H-M_alt 'I -4 2 d'
_space_group_IT_number 122
_space_group_name_Hall 'I -4 2bw'
loop_
_atom_site_label
_atom_site_type_symbol
_atom_site_fract_x
_atom_site_fract_y
_atom_site_fract_z
Zr1 Zr 0.000 0.000 0.000
Mn1 Mn 0.233 0.750 0.625
Nb1 Nb 0.000 0.000 0.500

---

# NaLiW2Se | Alexandria | PBE | relaxed
# * VASP energy: -4.881 eV/atom
# * ρ: 8.79 g/cm3
# * uncorrected formation energy: 1.644 eV per atom
data_NaLiW2Se
_chemical_formula_sum 'Na1 Li1 W2 Se1'
_cell_length_a 4.343
_cell_length_b 4.343
_cell_length_c 4.775
_cell_angle_alpha 90.00
_cell_angle_beta 90.00
_cell_angle_gamma 90.00
_space_group_name_H-M_alt 'P 4/m m m'
_space_group_IT_number 123
_space_group_name_Hall '-P 4 2'
loop_
_atom_site_label
_atom_site_type_symbol
_atom_site_fract_x
_atom_site_fract_y
_atom_site_fract_z
Na1 Na 0.000 0.000 0.000
Li1 Li 0.500 0.500 0.500
W1 W 0.000 0.500 0.500
Se1 Se 0.500 0.500 0.000

---

# CaLa2Zn | Alexandria | PBE | relaxed
# * VASP energy: -3.293 eV/atom
# * E_form: -0.01 eV per atom
# * ρ: 5.04 g/cm3
data_CaLa2Zn
_chemical_formula_sum 'Ca1 La2 Zn1'
_cell_length_a 5.479
_cell_length_b 5.479
_cell_length_c 4.204
_cell_angle_alpha 90.00
_cell_angle_beta 90.00
_cell_angle_gamma 90.00
_space_group_name_H-M_alt 'P 4/m m m'
_space_group_IT_number 123
_space_group_name_Hall '-P 4 2'
loop_
_atom_site_label
_atom_site_type_symbol
_atom_site_fract_x
_atom_site_fract_y
_atom_site_fract_z
Ca1 Ca 0.000 0.000 0.000
La1 La 0.000 0.500 0.500
Zn1 Zn 0.500 0.500 0.000

---

# TiNbCo2Ag | Alexandria | PBE | relaxed
# * VASP energy: -5.953 eV/atom
# * E_form: 1.05 eV per atom
# * ρ: 7.21 g/cm3
data_TiNbCo2Ag
_chemical_formula_sum 'Ti1 Nb1 Co2 Ag1'
_cell_length_a 4.188
_cell_length_b 4.188
_cell_length_c 4.812
_cell_angle_alpha 90.00
_cell_angle_beta 90.00
_cell_angle_gamma 90.00
_space_group_name_H-M_alt 'P 4/m m m'
_space_group_IT_number 123
_space_group_name_Hall '-P 4 2'
loop_
_atom_site_label
_atom_site_type_symbol
_atom_site_fract_x
_atom_site_fract_y
_atom_site_fract_z
Ti1 Ti 0.000 0.000 0.000
Nb1 Nb 0.500 0.500 0.500
Co1 Co 0.000 0.500 0.000
Ag1 Ag 0.000 0.000 0.500

---

# Tl3PH | Alexandria | PBE | relaxed
# * VASP energy: -2.795 eV/atom
# * E above lowest polymorph: 0.0000 eV per atom
# * ρ: 9.26 g/cm3
data_Tl3PH
_chemical_formula_sum 'Tl3 P1 H1'
_cell_length_a 4.873
_cell_length_b 4.873
_cell_length_c 4.873
_cell_angle_alpha 90.00
_cell_angle_beta 90.00
_cell_angle_gamma 90.00
_space_group_name_H-M_alt 'P m -3 m'
_space_group_IT_number 221
_space_group_name_Hall '-P 4 2 3'
loop_
_atom_site_label
_atom_site_type_symbol
_atom_site_fract_x
_atom_site_fract_y
_atom_site_fract_z
Tl1 Tl 0.000 0.000 0.500
P1 P 0.500 0.500 0.500
H1 H 0.000 0.000 0.000

---

# HfZrSb2Te | Alexandria | PBE | relaxed
# * VASP energy: -5.518 eV/atom
# * E above lowest polymorph: 0.0000 eV per atom
# * ρ: 6.56 g/cm3
# * uncorrected formation energy: 0.459 eV per atom
data_HfZrSb2Te
_chemical_formula_sum 'Hf1 Zr1 Sb2 Te1'
_cell_length_a 5.460
_cell_length_b 5.460
_cell_length_c 5.441
_cell_angle_alpha 90.00
_cell_angle_beta 90.00
_cell_angle_gamma 90.00
_space_group_name_H-M_alt 'P 4/m m m'
_space_group_IT_number 123
_space_group_name_Hall '-P 4 2'
loop_
_atom_site_label
_atom_site_type_symbol
_atom_site_fract_x
_atom_site_fract_y
_atom_site_fract_z
Hf1 Hf 0.000 0.000 0.000
Zr1 Zr 0.500 0.500 0.500
Sb1 Sb 0.000 0.500 0.000
Te1 Te 0.000 0.000 0.500

---

# CaTe2Au | Alexandria | PBE | relaxed
# * VASP energy: -3.289 eV/atom
# * ρ: 7.03 g/cm3
# * uncorrected formation energy: -0.398 eV per atom
data_CaTe2Au
_chemical_formula_sum 'Ca1 Te2 Au1'
_cell_length_a 3.326
_cell_length_b 3.326
_cell_length_c 10.518
_cell_angle_alpha 90.00
_cell_angle_beta 90.00
_cell_angle_gamma 90.00
_space_group_name_H-M_alt 'P 4 m m'
_space_group_IT_number 99
_space_group_name_Hall 'P 4 -2'
loop_
_atom_site_label
_atom_site_type_symbol
_atom_site_fract_x
_atom_site_fract_y
_atom_site_fract_z
Ca1 Ca 0.000 0.000 0.000
Te1 Te 0.000 0.000 0.606
Te2 Te 0.500 0.500 0.225
Au1 Au 0.500 0.500 0.820

---

# TiAg2PtS | Alexandria | PBE | relaxed
# * VASP energy: -3.619 eV/atom
# * ρ: 6.88 g/cm3
# * uncorrected formation energy: 1.134 eV per atom
data_TiAg2PtS
_chemical_formula_sum 'Ti1 Ag2 Pt1 S1'
_cell_length_a 5.098
_cell_length_b 5.098
_cell_length_c 4.555
_cell_angle_alpha 90.00
_cell_angle_beta 90.00
_cell_angle_gamma 90.00
_space_group_name_H-M_alt 'P 4/m m m'
_space_group_IT_number 123
_space_group_name_Hall '-P 4 2'
loop_
_atom_site_label
_atom_site_type_symbol
_atom_site_fract_x
_atom_site_fract_y
_atom_site_fract_z
Ti1 Ti 0.000 0.000 0.000
Ag1 Ag 0.000 0.500 0.000
Pt1 Pt 0.000 0.000 0.500
S1 S 0.500 0.500 0.500